A geometry-optimized BeTcH2 structure, computed with PBE-GGA.

Geometry as POSCAR:
```
BeTcH2
1.0
3.895 0.000 0.000
0.000 3.895 0.000
1.947 1.947 3.951
Tc Be H
2 2 4
Direct
0.750 0.250 0.500
0.000 0.000 0.000
0.250 0.750 0.500
0.500 0.500 0.000
0.173 0.625 0.250
0.875 0.827 0.750
0.375 0.423 0.750
0.577 0.125 0.250
```

Results
- volume (Å³ per atom) = 7.491
- ΔE to the lowest computed polymorph (kcal/mol of atoms) = 0.809